DFT (PBE) results for an optimized crystal structure of BeTl.

abc: 4.308 4.308 4.631
angles: 90.00 90.00 120.00
Positions (direct):
Be 0.000 0.000 0.000
Be 0.000 0.000 0.500
Tl 0.333 0.667 0.250
Tl 0.667 0.333 0.750

Output
N(E_F) (states/eV per atom): 0.4074
Energy of formation from the pure elements (meV per atom): 515
Total magnetization (Bohr magnetons per cell): 0.00
Offset from the most stable computed form (kJ/mol of atoms): 7.4